#i
Here is a geometry-optimized Tb2PmNd6 structure from the Alexandria database. Energies are from PBE.

CIF file:
```
data_Tb2PmNd6
_chemical_formula_sum 'Tb4 Pm2 Nd12'
_cell_length_a 11.866
_cell_length_b 3.499
_cell_length_c 15.593
_cell_angle_alpha 90.00
_cell_angle_beta 101.96
_cell_angle_gamma 90.00
_space_group_name_H-M_alt 'C 1 2/m 1'
_space_group_IT_number 12
_space_group_name_Hall '-C 2y'
loop_
_atom_site_label
_atom_site_fract_x
_atom_site_fract_y
_atom_site_fract_z
Tb1 0.167 0.000 0.166
Pm1 0.000 0.500 0.500
Nd1 0.041 0.500 0.731
Nd2 0.126 0.000 0.937
Nd3 0.207 0.000 0.395
```

Output
V   633.3 Å³/cell


#ii
Here is a geometry-optimized Tb2PmNd6 structure from the Alexandria database. Energies are from PBE.

CIF file:
```
data_Tb2PmNd6
_chemical_formula_sum 'Tb2 Pm1 Nd6'
_cell_length_a 7.6108
_cell_length_b 7.6108
_cell_length_c 6.2601
_cell_angle_alpha 90.00
_cell_angle_beta 90.00
_cell_angle_gamma 120.00
_space_group_name_H-M_alt 'P -3 m 1'
_space_group_IT_number 164
_space_group_name_Hall '-P 3 2"'
loop_
_atom_site_label
_atom_site_fract_x
_atom_site_fract_y
_atom_site_fract_z
Tb1 0.3333 0.6667 0.2846
Pm1 0.0000 0.0000 0.5000
Nd1 0.1881 0.3762 0.7902
```

Output
V   314.0 Å³/cell


Most stable to least stable, the ends of the list are #i and #ii.


#i
Here is a geometry-optimized TbPm3Nd2 structure from the Alexandria database. Energies are from PBE.

CIF file:
```
data_TbPm3Nd2
_chemical_formula_sum 'Tb2 Pm6 Nd4'
_cell_length_a 18.226
_cell_length_b 3.492
_cell_length_c 6.678
_cell_angle_alpha 90.00
_cell_angle_beta 102.93
_cell_angle_gamma 90.00
_space_group_name_H-M_alt 'C 1 2/m 1'
_space_group_IT_number 12
_space_group_name_Hall '-C 2y'
loop_
_atom_site_label
_atom_site_fract_x
_atom_site_fract_y
_atom_site_fract_z
Tb1 0.000 0.000 0.000
Pm1 0.000 0.000 0.500
Pm2 0.171 0.000 0.859
Nd1 0.161 0.500 0.349
```

Output
V   414.2 Å³/cell


#ii
Here is a geometry-optimized TbPm3Nd2 structure from the Alexandria database. Energies are from PBE.

CIF file:
```
data_TbPm3Nd2
_chemical_formula_sum 'Tb2 Pm6 Nd4'
_cell_length_a 6.787
_cell_length_b 17.948
_cell_length_c 3.438
_cell_angle_alpha 90.00
_cell_angle_beta 90.00
_cell_angle_gamma 90.00
_space_group_name_H-M_alt 'P n n m'
_space_group_IT_number 58
_space_group_name_Hall '-P 2 2n'
loop_
_atom_site_label
_atom_site_fract_x
_atom_site_fract_y
_atom_site_fract_z
Tb1 0.000 0.000 0.000
Pm1 0.000 0.500 0.000
Pm2 0.240 0.179 0.000
Nd1 0.234 0.350 0.500
```

Output
V   418.7 Å³/cell


Most stable to least stable, the ends of the list are #i and #ii.


#i
Here is a geometry-optimized Tb2Pm4Nd5 structure from the Alexandria database. Energies are from PBE.

CIF file:
```
data_Tb2Pm4Nd5
_chemical_formula_sum 'Tb4 Pm8 Nd10'
_cell_length_a 24.367
_cell_length_b 3.517
_cell_length_c 8.946
_cell_angle_alpha 90.00
_cell_angle_beta 97.01
_cell_angle_gamma 90.00
_space_group_name_H-M_alt 'C 1 2/m 1'
_space_group_IT_number 12
_space_group_name_Hall '-C 2y'
loop_
_atom_site_label
_atom_site_fract_x
_atom_site_fract_y
_atom_site_fract_z
Tb1 0.091 0.000 0.233
Pm1 0.045 0.000 0.862
Pm2 0.177 0.500 0.971
Nd1 0.000 0.500 0.500
Nd2 0.140 0.000 0.615
Nd3 0.230 0.000 0.322
```

Output
V   760.9 Å³/cell


#ii
Here is a geometry-optimized Tb2Pm4Nd5 structure from the Alexandria database. Energies are from PBE.

CIF file:
```
data_Tb2Pm4Nd5
_chemical_formula_sum 'Tb2 Pm4 Nd5'
_cell_length_a 9.017
_cell_length_b 3.556
_cell_length_c 11.912
_cell_angle_alpha 90.00
_cell_angle_beta 94.36
_cell_angle_gamma 90.00
_space_group_name_H-M_alt 'P 1 2/m 1'
_space_group_IT_number 10
_space_group_name_Hall '-P 2y'
loop_
_atom_site_label
_atom_site_fract_x
_atom_site_fract_y
_atom_site_fract_z
Tb1 0.055 0.000 0.135
Pm1 0.155 0.500 0.393
Pm2 0.290 0.500 0.951
Nd1 0.197 0.000 0.669
Nd2 0.426 0.000 0.208
Nd3 0.500 0.000 0.500
```

Output
V   380.9 Å³/cell


Most stable to least stable, the ends of the list are #ii and #i.


#i
Here is a geometry-optimized Tb3Pm2Nd5 structure from the Alexandria database. Energies are from PBE.

CIF file:
```
data_Tb3Pm2Nd5
_chemical_formula_sum 'Tb12 Pm8 Nd20'
_cell_length_a 9.495
_cell_length_b 22.161
_cell_length_c 6.905
_cell_angle_alpha 90.00
_cell_angle_beta 90.00
_cell_angle_gamma 90.00
_space_group_name_H-M_alt 'I b a m'
_space_group_IT_number 72
_space_group_name_Hall '-I 2 2c'
loop_
_atom_site_label
_atom_site_fract_x
_atom_site_fract_y
_atom_site_fract_z
Tb1 0.000 0.000 0.250
Tb2 0.247 0.120 0.000
Pm1 0.097 0.121 0.500
Nd1 0.000 0.247 0.250
Nd2 0.000 0.500 0.250
Nd3 0.096 0.373 0.000
```

Output
V   1452.8 Å³/cell


#ii
Here is a geometry-optimized Tb3Pm2Nd5 structure from the Alexandria database. Energies are from PBE.

CIF file:
```
data_Tb3Pm2Nd5
_chemical_formula_sum 'Tb12 Pm8 Nd20'
_cell_length_a 10.940
_cell_length_b 15.127
_cell_length_c 9.996
_cell_angle_alpha 90.00
_cell_angle_beta 122.99
_cell_angle_gamma 90.00
_space_group_name_H-M_alt 'C 1 2/c 1'
_space_group_IT_number 15
_space_group_name_Hall '-C 2yc'
loop_
_atom_site_label
_atom_site_fract_x
_atom_site_fract_y
_atom_site_fract_z
Tb1 0.000 0.020 0.250
Tb2 0.157 0.376 0.552
Pm1 0.149 0.123 0.056
Nd1 0.000 0.229 0.250
Nd2 0.000 0.269 0.750
Nd3 0.000 0.473 0.750
Nd4 0.239 0.378 0.233
```

Output
V   1387.5 Å³/cell


Most stable to least stable, the ends of the list are #ii and #i.


#i
Here is a geometry-optimized Tb4Pm3Nd2 structure from the Alexandria database. Energies are from PBE.

CIF file:
```
data_Tb4Pm3Nd2
_chemical_formula_sum 'Tb4 Pm3 Nd2'
_cell_length_a 3.6274
_cell_length_b 3.6274
_cell_length_c 26.8419
_cell_angle_alpha 90.00
_cell_angle_beta 90.00
_cell_angle_gamma 120.00
_space_group_name_H-M_alt 'P 3 m 1'
_space_group_IT_number 156
_space_group_name_Hall 'P 3 -2"'
loop_
_atom_site_label
_atom_site_fract_x
_atom_site_fract_y
_atom_site_fract_z
Tb1 0.0000 0.0000 0.0000
Tb2 0.0000 0.0000 0.2166
Tb3 0.3333 0.6667 0.3214
Tb4 0.3333 0.6667 0.5398
Pm1 0.0000 0.0000 0.4306
Pm2 0.3333 0.6667 0.1057
Pm3 0.3333 0.6667 0.7633
Nd1 0.0000 0.0000 0.6479
Nd2 0.0000 0.0000 0.8718
```

Output
V   305.9 Å³/cell


#ii
Here is a geometry-optimized Tb4Pm3Nd2 structure from the Alexandria database. Energies are from PBE.

CIF file:
```
data_Tb4Pm3Nd2
_chemical_formula_sum 'Tb4 Pm3 Nd2'
_cell_length_a 6.261
_cell_length_b 6.263
_cell_length_c 9.568
_cell_angle_alpha 108.93
_cell_angle_beta 90.12
_cell_angle_gamma 119.96
_space_group_name_H-M_alt 'P -1'
_space_group_IT_number 2
_space_group_name_Hall '-P 1'
loop_
_atom_site_label
_atom_site_fract_x
_atom_site_fract_y
_atom_site_fract_z
Tb1 0.110 0.388 0.332
Tb2 0.332 0.166 0.000
Pm1 0.000 0.500 0.000
Pm2 0.445 0.056 0.332
Nd1 0.223 0.279 0.668
```

Output
V   301.2 Å³/cell


Most stable to least stable, the ends of the list are #ii and #i.


#i
Here is a geometry-optimized Tb3Pm7Nd2 structure from the Alexandria database. Energies are from PBE.

CIF file:
```
data_Tb3Pm7Nd2
_chemical_formula_sum 'Tb3 Pm7 Nd2'
_cell_length_a 6.472
_cell_length_b 3.580
_cell_length_c 17.759
_cell_angle_alpha 90.00
_cell_angle_beta 95.98
_cell_angle_gamma 90.00
_space_group_name_H-M_alt 'P 1 2/m 1'
_space_group_IT_number 10
_space_group_name_Hall '-P 2y'
loop_
_atom_site_label
_atom_site_fract_x
_atom_site_fract_y
_atom_site_fract_z
Tb1 0.000 0.000 0.000
Tb2 0.047 0.500 0.659
Pm1 0.224 0.500 0.165
Pm2 0.243 0.000 0.503
Pm3 0.273 0.000 0.831
Pm4 0.500 0.500 0.000
Nd1 0.442 0.000 0.329
```

Output
V   409.2 Å³/cell


#ii
Here is a geometry-optimized Tb3Pm7Nd2 structure from the Alexandria database. Energies are from PBE.

CIF file:
```
data_Tb3Pm7Nd2
_chemical_formula_sum 'Tb6 Pm14 Nd4'
_cell_length_a 5.828
_cell_length_b 38.574
_cell_length_c 3.655
_cell_angle_alpha 90.00
_cell_angle_beta 90.00
_cell_angle_gamma 90.00
_space_group_name_H-M_alt 'C m m m'
_space_group_IT_number 65
_space_group_name_Hall '-C 2 2'
loop_
_atom_site_label
_atom_site_fract_x
_atom_site_fract_y
_atom_site_fract_z
Tb1 0.000 0.000 0.000
Tb2 0.000 0.185 0.000
Pm1 0.000 0.091 0.500
Pm2 0.000 0.269 0.500
Pm3 0.000 0.428 0.000
Pm4 0.000 0.500 0.500
Nd1 0.000 0.352 0.500
```

Output
V   821.8 Å³/cell


Most stable to least stable, the ends of the list are #i and #ii.


#i
Here is a geometry-optimized Tb4PmNd7 structure from the Alexandria database. Energies are from PBE.

CIF file:
```
data_Tb4PmNd7
_chemical_formula_sum 'Tb8 Pm2 Nd14'
_cell_length_a 16.261
_cell_length_b 6.040
_cell_length_c 9.473
_cell_angle_alpha 90.00
_cell_angle_beta 116.32
_cell_angle_gamma 90.00
_space_group_name_H-M_alt 'C 1 2/m 1'
_space_group_IT_number 12
_space_group_name_Hall '-C 2y'
loop_
_atom_site_label
_atom_site_fract_x
_atom_site_fract_y
_atom_site_fract_z
Tb1 0.072 0.000 0.198
Tb2 0.171 0.000 0.887
Pm1 0.000 0.500 0.500
Nd1 0.000 0.000 0.500
Nd2 0.084 0.500 0.947
Nd3 0.210 0.500 0.733
Nd4 0.213 0.500 0.381
```

Output
V   834.0 Å³/cell


#ii
Here is a geometry-optimized Tb4PmNd7 structure from the Alexandria database. Energies are from PBE.

CIF file:
```
data_Tb4PmNd7
_chemical_formula_sum 'Tb4 Pm1 Nd7'
_cell_length_a 6.354
_cell_length_b 7.336
_cell_length_c 9.046
_cell_angle_alpha 90.00
_cell_angle_beta 103.52
_cell_angle_gamma 90.01
_space_group_name_H-M_alt 'P -1'
_space_group_IT_number 2
_space_group_name_Hall '-P 1'
loop_
_atom_site_label
_atom_site_fract_x
_atom_site_fract_y
_atom_site_fract_z
Tb1 0.220 0.000 0.165
Tb2 0.278 0.753 0.833
Pm1 0.000 0.500 0.500
Nd1 0.000 0.000 0.500
Nd2 0.222 0.500 0.166
Nd3 0.280 0.248 0.835
Nd4 0.500 0.248 0.499
```

Output
V   410.0 Å³/cell


Most stable to least stable, the ends of the list are #ii and #i.


#i
Here is a geometry-optimized Tb7Pm3Nd structure from the Alexandria database. Energies are from PBE.

CIF file:
```
data_Tb7Pm3Nd
_chemical_formula_sum 'Tb7 Pm3 Nd1'
_cell_length_a 7.1178
_cell_length_b 7.1178
_cell_length_c 8.7211
_cell_angle_alpha 90.00
_cell_angle_beta 90.00
_cell_angle_gamma 120.00
_space_group_name_H-M_alt 'P 3 m 1'
_space_group_IT_number 156
_space_group_name_Hall 'P 3 -2"'
loop_
_atom_site_label
_atom_site_fract_x
_atom_site_fract_y
_atom_site_fract_z
Tb1 0.0000 0.0000 0.0000
Tb2 0.1657 0.3313 0.3250
Tb3 0.5007 0.0014 0.9963
Pm1 0.3326 0.1663 0.6622
Nd1 0.6667 0.3333 0.3228
```

Output
V   382.6 Å³/cell


#ii
Here is a geometry-optimized Tb7Pm3Nd structure from the Alexandria database. Energies are from PBE.

CIF file:
```
data_Tb7Pm3Nd
_chemical_formula_sum 'Tb7 Pm3 Nd1'
_cell_length_a 5.586
_cell_length_b 7.004
_cell_length_c 10.069
_cell_angle_alpha 69.83
_cell_angle_beta 89.99
_cell_angle_gamma 89.95
_space_group_name_H-M_alt 'P -1'
_space_group_IT_number 2
_space_group_name_Hall '-P 1'
loop_
_atom_site_label
_atom_site_fract_x
_atom_site_fract_y
_atom_site_fract_z
Tb1 0.000 0.000 0.000
Tb2 0.000 0.417 0.170
Tb3 0.500 0.145 0.711
Tb4 0.500 0.320 0.361
Pm1 0.000 0.500 0.500
Pm2 0.500 0.282 0.001
Nd1 0.000 0.000 0.500
```

Output
V   369.8 Å³/cell


Most stable to least stable, the ends of the list are #ii and #i.